Below is a geometry-optimized Er2BiTe4 structure, with properties calculated at the GGA-PBE level.

abc: 4.2568 7.6141 8.8212
angles: 116.54 103.96 90.00
Positions (direct):
Er 0.2572 0.2360 0.5145
Bi 0.0000 0.0000 0.0000
Te 0.6417 0.3077 0.2835
Er 0.7428 0.7640 0.4855
Te 0.3583 0.6923 0.7165
Te 0.1250 0.7935 0.2499
Te 0.8750 0.2065 0.7501

mass density: 7.11 g/cm3
formation energy (no corrections): -0.936 eV/atom